Entry 1:
Computed, not measured: a relaxed Pm2SbTe crystal at the PBE level of DFT.

Unit cell a=4.3902 b=4.3902 c=8.1437 alpha=74.36 beta=74.36 gamma=60.00
Last column: nearest neighbours and their distance in Å.
Element x y z (fractional)
1 Pm 0.2556 0.2556 0.2331  3 Sb 3.13, 3 Te 3.29
2 Sb 0.6679 0.6679 0.9964  6 Pm 3.09-3.13
3 Te 0.4989 0.4989 0.5032  6 Pm 3.26-3.29
4 Pm 0.0776 0.0776 0.7673  3 Sb 3.09, 3 Te 3.26

total moment = 0.0 μB per formula unit
ΔE_f (raw) = -29.73 kcal/mol of atoms

***

Entry 2:
Computed, not measured: a relaxed DyScTl crystal at the PBE level of DFT.

Unit cell a=5.1964 b=5.1964 c=6.6083 alpha=90.00 beta=90.00 gamma=119.99
Last column: nearest neighbours and their distance in Å.
Element x y z (fractional)
1 Dy 0.0000 0.5000 0.5000  2 Dy 3.30, 6 Tl 3.42-3.43, 6 Sc 3.42-3.43
2 Tl 0.3332 0.1668 0.7500  5 Sc 3.00-3.30
3 Sc 0.6666 0.8334 0.7500  5 Tl 3.00-3.30
4 Tl 0.6668 0.8332 0.2500  5 Sc 3.00-3.30
5 Dy 0.0000 0.5000 0.0000  2 Dy 3.30, 6 Tl 3.42-3.43, 6 Sc 3.42-3.43
6 Sc 0.3334 0.1666 0.2500  5 Tl 3.00-3.30

total moment = 0.0 μB per formula unit
E_form = -0.27 eV per atom